{"formula": "NaNiO2", "functional": "GGA-PBEsol", "state": "relaxed", "dos_at_fermi_per_ev_fu": 0.7, "sg": "Cmcm", "volume_a3_per_atom": 9.8, "raw_formation_energy_ev_per_atom": -1.1155, "lattice_angstrom": [[1.416, -2.661, 0.000], [1.416, 2.661, 0.000], [0.000, 0.000, 10.393]], "species": ["Na", "Na", "Ni", "Ni", "O", "O", "O", "O"], "fractional_positions": [[0.180, 0.820, 0.750], [0.820, 0.180, 0.250], [0.500, 0.500, 0.000], [0.500, 0.500, 0.500], [0.145, 0.855, 0.096], [0.145, 0.855, 0.404], [0.855, 0.145, 0.596], [0.855, 0.145, 0.904]]}


{"formula": "ScHgPb2", "functional": "GGA-PBEsol", "state": "relaxed", "delta_e_f_kcal_per_mol_atoms": -5.29, "dos_at_fermi_per_ev_fu": 2.5, "sg": "Cm", "volume_a3_per_atom": 24.4, "lattice_angstrom": [[5.747, -1.721, 0.000], [5.747, 1.721, 0.000], [-1.949, 0.000, 4.939]], "species": ["Sc", "Hg", "Pb", "Pb"], "fractional_positions": [[0.000, 0.000, 0.000], [0.717, 0.717, 0.344], [0.251, 0.251, 0.871], [0.475, 0.475, 0.497]]}


{"formula": "BaSiSb2", "functional": "GGA-PBEsol", "state": "relaxed", "dos_at_fermi_per_ev_fu": 2.6, "sg": "Imm2", "volume_a3_per_atom": 29.3, "raw_formation_energy_ev_per_atom": -0.1932, "lattice_angstrom": [[-1.964, 2.644, 5.634], [1.964, -2.644, 5.634], [1.964, 2.644, -5.634]], "species": ["Ba", "Si", "Sb", "Sb"], "fractional_positions": [[0.000, 0.000, 0.000], [0.766, 0.266, 0.500], [0.267, 0.767, 0.500], [0.606, 0.606, 0.000]]}